# BaScTlBr6

A relaxed structure of BaScTlBr6 (PBE-GGA, the Alexandria database).

Properties
ΔE_f (raw) (eV/atom): -1.67
Theoretical density (Mg/m³): 4.04
DFT total energy (eV/atom): -3.967
Magnetic moment (μB/cell): 0.0

abc: 7.826 7.826 13.430
angles: 90.00 90.00 120.00
Positions (direct):
Br (0.946, 0.337, 0.133)
Br (0.337, 0.946, 0.633)
Sc (0.333, 0.667, 0.750)
Br (0.054, 0.663, 0.867)
Tl (0.000, 0.000, 0.000)
Br (0.663, 0.610, 0.133)
Br (0.390, 0.054, 0.133)
Ba (0.667, 0.333, 0.750)
Br (0.610, 0.946, 0.867)
Ba (0.333, 0.667, 0.250)
Br (0.337, 0.390, 0.867)
Br (0.946, 0.610, 0.367)
Br (0.663, 0.054, 0.367)
Br (0.390, 0.337, 0.367)
Tl (0.000, 0.000, 0.500)
Br (0.610, 0.663, 0.633)
Sc (0.667, 0.333, 0.250)
Br (0.054, 0.390, 0.633)

***

# Ba3SeBr3

A relaxed structure of Ba3SeBr3 (PBE-GGA, the Alexandria database).

Properties
ΔE_f (raw) (eV/atom): -1.92
Theoretical density (Mg/m³): 4.11
ΔE to the lowest computed polymorph (meV/atom): 44.1
DFT total energy (eV/atom): -3.957
Magnetic moment (μB/cell): 0.0

abc: 9.438 9.438 9.541
angles: 59.63 59.63 58.32
Positions (direct):
Ba (0.500, 0.000, 0.234)
Br (0.752, 0.752, 0.498)
Ba (0.500, 0.000, 0.766)
Se (0.240, 0.240, 0.010)
Ba (0.000, 0.500, 0.766)
Br (0.753, 0.247, 0.500)
Br (0.248, 0.248, 0.502)
Br (0.753, 0.247, 0.000)
Br (0.247, 0.753, 0.000)
Se (0.760, 0.760, 0.990)
Ba (0.000, 0.500, 0.234)
Ba (0.003, 0.003, 0.247)
Br (0.247, 0.753, 0.500)
Ba (0.997, 0.997, 0.753)

***

# Ba2SeBr2

A relaxed structure of Ba2SeBr2 (PBE-GGA, the Alexandria database).

Properties
ΔE_f (raw) (eV/atom): -1.89
Theoretical density (Mg/m³): 4.68
DFT total energy (eV/atom): -4.030
Magnetic moment (μB/cell): 0.0

abc: 8.800 8.800 4.703
angles: 90.00 90.00 90.00
Positions (direct):
Br (0.135, 0.635, 0.500)
Se (0.000, 0.000, 0.000)
Br (0.635, 0.865, 0.500)
Br (0.865, 0.365, 0.500)
Br (0.365, 0.135, 0.500)
Ba (0.179, 0.321, 0.000)
Ba (0.321, 0.821, 0.000)
Se (0.500, 0.500, 0.000)
Ba (0.821, 0.679, 0.000)
Ba (0.679, 0.179, 0.000)

***

# Ba3Se2Br

A relaxed structure of Ba3Se2Br (PBE-GGA, the Alexandria database).

Properties
ΔE_f (raw) (eV/atom): -1.67
Theoretical density (Mg/m³): 3.99
DFT total energy (eV/atom): -4.070
Magnetic moment (μB/cell): 1.6

abc: 4.780 8.357 14.120
angles: 90.00 90.00 106.62
Positions (direct):
Ba (0.620, 0.239, 0.425)
Se (0.508, 0.016, 0.250)
Ba (0.380, 0.761, 0.925)
Se (0.000, 0.000, 0.000)
Br (0.769, 0.538, 0.750)
Br (0.231, 0.462, 0.250)
Ba (0.620, 0.239, 0.075)
Ba (0.891, 0.782, 0.250)
Se (0.000, 0.000, 0.500)
Se (0.492, 0.984, 0.750)
Ba (0.109, 0.218, 0.750)
Ba (0.380, 0.761, 0.575)